Crystalline NaAc3Ga2Au6 at its relaxed geometry. Source: Alexandria via LeMat-Bulk, functional PBE.

Lattice parameters (Å, degrees): 6.513 6.513 8.670 90.00 90.00 120.00
Sites, in units of the cell vectors:
Na 0.000 0.000 0.000
Ac 0.000 0.000 0.500
Ac 0.333 0.667 0.139
Ac 0.667 0.333 0.861
Ga 0.333 0.667 0.521
Ga 0.667 0.333 0.479
Au 0.185 0.370 0.775
Au 0.185 0.815 0.775
Au 0.370 0.185 0.225
Au 0.630 0.815 0.775
Au 0.815 0.185 0.225
Au 0.815 0.630 0.225

Calculated values
Formation energy in meV/atom: -486
Density in Mg/m³: 10.56
Space-group type: P-3m1
V in A^3/atom: 26.5